VASP calculation (PBE with a Hubbard U) on crystalline BeNiO at its relaxed geometry.

The structure in extended XYZ format:
```
6
Lattice="5.241 -1.284 0.000 5.241 1.284 0.000 -1.966 0.000 4.418" Properties=species:S:1:pos:R:3 pbc="T T T"
Be -0.082 0.000 1.057
Be 8.597 0.000 3.361
Ni 0.997 0.000 3.244
Ni 7.518 0.000 1.174
O -0.983 0.000 2.209
O 5.241 0.000 0.000
```

Calculated values
Energy ... -4.72 eV/atom
SG ... C2/m
Total magnetic moment ... 1.0 μB/f.u.